[1]
The following is a PBE calculation of an optimized crystal structure of CaMg4Be, from Alexandria.

Values from the calculation:
E_form in meV per atom: 335
Calculated density in g/cm³: 1.69

Lattice parameters (Å, degrees): 5.876 5.876 5.876 60.00 60.00 60.00
Fractional positions:
Ca: 0.000 0.000 0.000
Mg: 0.127 0.624 0.624
Mg: 0.624 0.127 0.624
Mg: 0.624 0.624 0.127
Mg: 0.624 0.624 0.624
Be: 0.250 0.250 0.250

[2]
The following is a PBE calculation of an optimized crystal structure of Pr2Tm8Th3, from Alexandria.

Values from the calculation:
E_form in meV per atom: 260
Calculated density in g/cm³: 8.76

Lattice parameters (Å, degrees): 8.710 8.710 6.586 98.52 98.52 63.81
Fractional positions:
Pr: 0.221 0.221 0.308
Pr: 0.779 0.779 0.692
Tm: 0.197 0.197 0.794
Tm: 0.209 0.567 0.060
Tm: 0.422 0.422 0.638
Tm: 0.433 0.791 0.940
Tm: 0.567 0.209 0.060
Tm: 0.578 0.578 0.362
Tm: 0.791 0.433 0.940
Tm: 0.803 0.803 0.206
Th: 0.000 0.000 0.000
Th: 0.171 0.829 0.500
Th: 0.829 0.171 0.500

[3]
The following is a PBE calculation of an optimized crystal structure of Mg3SbN, from Alexandria.

Values from the calculation:
Formation energy from raw total energies in eV/atom: -0.2805
Calculated density in g/cm³: 3.13

Lattice parameters (Å, degrees): 6.070 11.698 6.231 90.00 90.00 90.00
Fractional positions:
Mg: 0.095 0.111 0.101
Mg: 0.095 0.389 0.101
Mg: 0.195 0.250 0.671
Mg: 0.305 0.750 0.171
Mg: 0.405 0.611 0.601
Mg: 0.405 0.889 0.601
Mg: 0.595 0.111 0.399
Mg: 0.595 0.389 0.399
Mg: 0.695 0.250 0.829
Mg: 0.805 0.750 0.329
Mg: 0.905 0.611 0.899
Mg: 0.905 0.889 0.899
Sb: 0.000 0.000 0.500
Sb: 0.000 0.500 0.500
Sb: 0.500 0.000 0.000
Sb: 0.500 0.500 0.000
N: 0.007 0.250 0.944
N: 0.493 0.750 0.444
N: 0.507 0.250 0.556
N: 0.993 0.750 0.056

[4]
The following is a PBE calculation of an optimized crystal structure of Tc2TeC, from Alexandria.

Values from the calculation:
Formation energy from raw total energies in eV/atom: 1.1668
E above lowest polymorph in eV/f.u.: 2.50
Calculated density in g/cm³: 9.83

Lattice parameters (Å, degrees): 6.097 6.097 6.097 90.00 90.00 90.00
Fractional positions:
Tc: 0.250 0.250 0.250
Tc: 0.250 0.250 0.750
Tc: 0.250 0.750 0.250
Tc: 0.250 0.750 0.750
Tc: 0.750 0.250 0.250
Tc: 0.750 0.250 0.750
Tc: 0.750 0.750 0.250
Tc: 0.750 0.750 0.750
Te: 0.000 0.000 0.000
Te: 0.000 0.500 0.500
Te: 0.500 0.000 0.500
Te: 0.500 0.500 0.000
C: 0.000 0.000 0.500
C: 0.000 0.500 0.000
C: 0.500 0.000 0.000
C: 0.500 0.500 0.500

[5]
The following is a PBE calculation of an optimized crystal structure of PmNdCu10, from Alexandria.

Values from the calculation:
E_form in meV per atom: -167
Calculated density in g/cm³: 8.25

Lattice parameters (Å, degrees): 4.121 5.130 8.802 90.00 90.00 90.00
Fractional positions:
Pm: 0.000 0.000 0.000
Nd: 0.000 0.500 0.500
Cu: 0.000 0.000 0.333
Cu: 0.000 0.000 0.667
Cu: 0.000 0.500 0.165
Cu: 0.000 0.500 0.835
Cu: 0.500 0.000 0.500
Cu: 0.500 0.250 0.249
Cu: 0.500 0.250 0.751
Cu: 0.500 0.500 0.000
Cu: 0.500 0.750 0.249
Cu: 0.500 0.750 0.751

[6]
The following is a PBE calculation of an optimized crystal structure of CrNi, from Alexandria.

Values from the calculation:
E_form in meV per atom: 422
Calculated density in g/cm³: 7.57

Lattice parameters (Å, degrees): 4.001 4.001 7.004 90.00 90.00 120.00
Fractional positions:
Cr: 0.333 0.667 0.090
Cr: 0.333 0.667 0.410
Cr: 0.667 0.333 0.590
Cr: 0.667 0.333 0.910
Ni: 0.000 0.000 0.250
Ni: 0.000 0.000 0.750
Ni: 0.333 0.667 0.750
Ni: 0.667 0.333 0.250

[7]
The following is a PBE calculation of an optimized crystal structure of OsC2, from Alexandria.

Values from the calculation:
E_form in meV per atom: 1142
E above lowest polymorph in eV/f.u.: 1.73
Calculated density in g/cm³: 12.07

Lattice parameters (Å, degrees): 4.428 4.835 2.754 90.00 90.00 90.00
Fractional positions:
Os: 0.000 0.000 0.000
Os: 0.500 0.500 0.500
C: 0.147 0.448 0.000
C: 0.353 0.948 0.500
C: 0.647 0.052 0.500
C: 0.853 0.552 0.000

[8]
The following is a PBE calculation of an optimized crystal structure of V8B2Mo, from Alexandria.

Values from the calculation:
E_form in meV per atom: -77
Calculated density in g/cm³: 6.27

Lattice parameters (Å, degrees): 5.899 5.899 4.399 98.45 98.45 109.94
Fractional positions:
V: 0.083 0.336 0.586
V: 0.244 0.756 0.000
V: 0.336 0.083 0.586
V: 0.395 0.395 0.193
V: 0.605 0.605 0.807
V: 0.664 0.917 0.414
V: 0.756 0.244 0.000
V: 0.917 0.664 0.414
B: 0.311 0.689 0.500
B: 0.689 0.311 0.500
Mo: 0.000 0.000 0.000

[9]
The following is a PBE calculation of an optimized crystal structure of Ti2GePt2, from Alexandria.

Values from the calculation:
E_form in meV per atom: -697
E above lowest polymorph in eV/f.u.: 0.00
Calculated density in g/cm³: 11.13

Lattice parameters (Å, degrees): 7.548 7.548 2.926 90.00 90.00 90.00
Fractional positions:
Ti: 0.166 0.334 0.000
Ti: 0.334 0.834 0.000
Ti: 0.666 0.166 0.000
Ti: 0.834 0.666 0.000
Ge: 0.000 0.000 0.500
Ge: 0.500 0.500 0.500
Pt: 0.131 0.631 0.500
Pt: 0.369 0.131 0.500
Pt: 0.631 0.869 0.500
Pt: 0.869 0.369 0.500

[10]
The following is a PBE calculation of an optimized crystal structure of K2Br2N, from Alexandria.

Values from the calculation:
Formation energy from raw total energies in eV/atom: -0.3225
E above lowest polymorph in eV/f.u.: 0.00
Calculated density in g/cm³: 2.47

Lattice parameters (Å, degrees): 9.025 9.025 4.161 90.00 90.00 90.00
Fractional positions:
K: 0.148 0.352 0.000
K: 0.352 0.852 0.000
K: 0.648 0.148 0.000
K: 0.852 0.648 0.000
Br: 0.155 0.655 0.500
Br: 0.345 0.155 0.500
Br: 0.655 0.845 0.500
Br: 0.845 0.345 0.500
N: 0.000 0.000 0.000
N: 0.500 0.500 0.000

[11]
The following is a PBE calculation of an optimized crystal structure of K2LiMo, from Alexandria.

Values from the calculation:
E_form in meV per atom: 1101
E above lowest polymorph in eV/f.u.: 0.35
Calculated density in g/cm³: 2.73

Lattice parameters (Å, degrees): 2.969 2.969 12.481 90.00 90.00 90.00
Fractional positions:
K: 0.000 0.000 0.228
K: 0.000 0.000 0.772
Li: 0.500 0.500 0.500
Mo: 0.500 0.500 0.000

[12]
The following is a PBE calculation of an optimized crystal structure of TcPbI3, from Alexandria.

Values from the calculation:
Formation energy from raw total energies in eV/atom: 0.3411
E above lowest polymorph in eV/f.u.: 0.00
Calculated density in g/cm³: 6.79

Lattice parameters (Å, degrees): 5.516 5.516 5.516 90.00 90.00 90.00
Fractional positions:
Tc: 0.000 0.000 0.000
Pb: 0.500 0.500 0.500
I: 0.000 0.000 0.500
I: 0.000 0.500 0.000
I: 0.500 0.000 0.000

[13]
The following is a PBE calculation of an optimized crystal structure of MgOsO3, from Alexandria.

Values from the calculation:
Formation energy from raw total energies in eV/atom: 0.0518
Calculated density in g/cm³: 8.60

Lattice parameters (Å, degrees): 3.700 3.700 3.700 90.00 90.00 90.00
Fractional positions:
Mg: 0.000 0.000 0.000
Os: 0.500 0.500 0.500
O: 0.000 0.000 0.500
O: 0.000 0.500 0.000
O: 0.500 0.000 0.000

[14]
The following is a PBE calculation of an optimized crystal structure of Y3Sc2Al3, from Alexandria.

Values from the calculation:
E_form in meV per atom: -337
Calculated density in g/cm³: 3.81

Lattice parameters (Å, degrees): 3.561 5.118 20.920 90.00 90.00 90.00
Fractional positions:
Y: 0.000 0.000 0.000
Y: 0.000 0.500 0.123
Y: 0.000 0.500 0.877
Y: 0.500 0.000 0.377
Y: 0.500 0.000 0.623
Y: 0.500 0.500 0.500
Sc: 0.000 0.000 0.235
Sc: 0.000 0.000 0.765
Sc: 0.500 0.500 0.265
Sc: 0.500 0.500 0.735
Al: 0.000 0.000 0.500
Al: 0.000 0.500 0.375
Al: 0.000 0.500 0.625
Al: 0.500 0.000 0.125
Al: 0.500 0.000 0.875
Al: 0.500 0.500 0.000

[15]
The following is a PBE calculation of an optimized crystal structure of HgRu3S, from Alexandria.

Values from the calculation:
Formation energy from raw total energies in eV/atom: 2.4599
E above lowest polymorph in eV/f.u.: 10.03
Calculated density in g/cm³: 7.03

Lattice parameters (Å, degrees): 5.021 5.021 5.021 90.00 90.00 90.00
Fractional positions:
Hg: 0.000 0.000 0.000
Ru: 0.000 0.000 0.500
Ru: 0.000 0.500 0.000
Ru: 0.500 0.000 0.000
S: 0.500 0.500 0.500

[16]
The following is a PBE calculation of an optimized crystal structure of NaMnI2, from Alexandria.

Values from the calculation:
Formation energy from raw total energies in eV/atom: -0.2936
E above lowest polymorph in eV/f.u.: 0.21
Calculated density in g/cm³: 3.72

Lattice parameters (Å, degrees): 4.133 4.133 30.040 90.00 90.00 120.00
Fractional positions:
Na: 0.000 0.000 0.000
Na: 0.333 0.667 0.667
Na: 0.667 0.333 0.333
Mn: 0.000 0.000 0.500
Mn: 0.333 0.667 0.167
Mn: 0.667 0.333 0.833
I: 0.000 0.000 0.111
I: 0.000 0.000 0.889
I: 0.333 0.667 0.555
I: 0.333 0.667 0.778
I: 0.667 0.333 0.222
I: 0.667 0.333 0.445

[17]
The following is a PBE calculation of an optimized crystal structure of KRuOF2, from Alexandria.

Values from the calculation:
Formation energy from raw total energies in eV/atom: -1.6526
E above lowest polymorph in eV/f.u.: 0.00
Calculated density in g/cm³: 4.39

Lattice parameters (Å, degrees): 4.418 4.418 3.760 90.00 90.00 90.00
Fractional positions:
K: 0.000 0.000 0.000
Ru: 0.500 0.500 0.500
O: 0.500 0.500 0.000
F: 0.000 0.500 0.500
F: 0.500 0.000 0.500

[18]
The following is a PBE calculation of an optimized crystal structure of As2P, from Alexandria.

Values from the calculation:
E_form in meV per atom: 454
E above lowest polymorph in eV/f.u.: 1.19
Calculated density in g/cm³: 5.02

Lattice parameters (Å, degrees): 4.145 4.145 3.479 90.00 90.00 90.00
Fractional positions:
As: 0.000 0.500 0.000
As: 0.500 0.000 0.000
P: 0.000 0.000 0.500

[19]
The following is a PBE calculation of an optimized crystal structure of NiOsCl2, from Alexandria.

Values from the calculation:
Formation energy from raw total energies in eV/atom: 1.1135
E above lowest polymorph in eV/f.u.: 3.63
Calculated density in g/cm³: 9.16

Lattice parameters (Å, degrees): 4.365 4.365 3.044 90.00 90.00 90.00
Fractional positions:
Ni: 0.000 0.000 0.000
Os: 0.500 0.500 0.000
Cl: 0.000 0.500 0.500
Cl: 0.500 0.000 0.500

[20]
The following is a PBE calculation of an optimized crystal structure of PmTh2Tl, from Alexandria.

Values from the calculation:
E_form in meV per atom: -111
E above lowest polymorph in eV/f.u.: 0.00
Calculated density in g/cm³: 10.48

Lattice parameters (Å, degrees): 4.775 4.730 11.662 90.00 101.84 90.00
Fractional positions:
Pm: 0.195 0.250 0.388
Pm: 0.805 0.750 0.612
Th: 0.060 0.750 0.120
Th: 0.441 0.750 0.883
Th: 0.559 0.250 0.117
Th: 0.940 0.250 0.880
Tl: 0.331 0.250 0.664
Tl: 0.669 0.750 0.336

[21]
The following is a PBE calculation of an optimized crystal structure of K2PaAsSe5, from Alexandria.

Values from the calculation:
Formation energy from raw total energies in eV/atom: -1.0019
Calculated density in g/cm³: 4.31

Lattice parameters (Å, degrees): 9.700 9.700 14.460 90.00 90.00 153.83
Fractional positions:
K: 0.104 0.896 0.500
K: 0.127 0.873 0.163
K: 0.873 0.127 0.663
K: 0.896 0.104 0.000
Pa: 0.206 0.794 0.880
Pa: 0.794 0.206 0.380
As: 0.449 0.551 0.269
As: 0.551 0.449 0.769
Se: 0.060 0.940 0.888
Se: 0.286 0.714 0.502
Se: 0.316 0.684 0.249
Se: 0.342 0.658 0.836
Se: 0.495 0.505 0.119
Se: 0.505 0.495 0.619
Se: 0.658 0.342 0.336
Se: 0.684 0.316 0.749
Se: 0.714 0.286 0.002
Se: 0.940 0.060 0.388

[22]
The following is a PBE calculation of an optimized crystal structure of CdAg2Cl, from Alexandria.

Values from the calculation:
Formation energy from raw total energies in eV/atom: -0.0992
E above lowest polymorph in eV/f.u.: 0.25
Calculated density in g/cm³: 6.79

Lattice parameters (Å, degrees): 3.266 4.511 12.076 90.00 90.00 90.00
Fractional positions:
Cd: 0.000 0.000 0.000
Cd: 0.500 0.500 0.500
Ag: 0.000 0.000 0.455
Ag: 0.000 0.500 0.154
Ag: 0.500 0.000 0.654
Ag: 0.500 0.500 0.955
Cl: 0.000 0.500 0.752
Cl: 0.500 0.000 0.252

[23]
The following is a PBE calculation of an optimized crystal structure of KS2Cl8, from Alexandria.

Values from the calculation:
Formation energy from raw total energies in eV/atom: -0.3123
Calculated density in g/cm³: 1.52

Lattice parameters (Å, degrees): 8.129 8.129 7.722 108.86 108.86 63.99
Fractional positions:
K: 0.000 0.000 0.000
S: 0.166 0.166 0.645
S: 0.834 0.834 0.355
Cl: 0.111 0.699 0.226
Cl: 0.219 0.219 0.407
Cl: 0.301 0.889 0.774
Cl: 0.309 0.309 0.848
Cl: 0.691 0.691 0.152
Cl: 0.699 0.111 0.226
Cl: 0.781 0.781 0.593
Cl: 0.889 0.301 0.774

[24]
The following is a PBE calculation of an optimized crystal structure of P3RuO, from Alexandria.

Values from the calculation:
Formation energy from raw total energies in eV/atom: 0.5315
E above lowest polymorph in eV/f.u.: 0.00
Calculated density in g/cm³: 5.30

Lattice parameters (Å, degrees): 4.038 4.038 4.038 90.00 90.00 90.00
Fractional positions:
P: 0.000 0.000 0.500
P: 0.000 0.500 0.000
P: 0.500 0.000 0.000
Ru: 0.500 0.500 0.500
O: 0.000 0.000 0.000

[25]
The following is a PBE calculation of an optimized crystal structure of CaHf2H8, from Alexandria.

Values from the calculation:
Calculated density in g/cm³: 6.71

Lattice parameters (Å, degrees): 5.484 5.484 3.655 93.78 93.78 113.22
Fractional positions:
Ca: 0.000 0.000 0.000
Hf: 0.327 0.673 0.500
Hf: 0.673 0.327 0.500
H: 0.034 0.314 0.534
H: 0.250 0.750 0.000
H: 0.314 0.034 0.534
H: 0.391 0.391 0.217
H: 0.609 0.609 0.783
H: 0.686 0.966 0.466
H: 0.750 0.250 0.000
H: 0.966 0.686 0.466

no.,final energy (eV per atom)
1,-1.68
2,-4.94
3,-3.73
4,-7.11
5,-4.37
6,-7.28
7,-8.75
8,-8.91
9,-7.19
10,-3.10
11,-2.63
12,-3.40
13,-5.49
14,-5.75
15,-3.99
16,-3.69
17,-5.47
18,-4.45
19,-4.06
20,-5.60
21,-4.75
22,-2.22
23,-2.51
24,-5.56
25,-4.83